1.
First-principles (PBE) data for a geometry-optimized SiBPd structure, as listed in the Open Quantum Materials Database.

Summary:
* excess energy over the best structure of this formula in the dataset: 0.000 eV per atom
* space group: No. 216

abc: 3.735 3.735 3.735
angles: 60.00 60.00 60.00
Element x y z (fractional)
B1 0.000 0.000 0.000
Pd1 0.250 0.250 0.250
Si1 0.750 0.750 0.750

=====

2.
First-principles (PBE) data for a geometry-optimized Rb2HgTe2 structure, as listed in the Open Quantum Materials Database.

Summary:
* space group: No. 139

abc: 8.608 8.608 8.608
angles: 130.68 130.68 72.33
Element x y z (fractional)
Hg1 0.000 0.000 0.000
Rb1 0.750 0.250 0.500
Rb2 0.250 0.750 0.500
Te1 0.190 0.190 0.000
Te2 0.810 0.810 0.000

=====

3.
First-principles (PBE) data for a geometry-optimized Tb2HgO4 structure, as listed in the Open Quantum Materials Database.

Summary:
* space group: No. 227

abc: 6.834 6.834 6.834
angles: 120.00 90.01 120.00
Element x y z (fractional)
Hg1 0.000 0.000 0.000
Hg2 0.750 0.500 0.250
O1 0.611 0.222 0.389
O2 0.167 0.778 0.389
O3 0.611 0.778 0.389
O4 0.139 0.278 0.417
O5 0.611 0.222 0.833
O6 0.139 0.722 0.861
O7 0.139 0.278 0.861
O8 0.583 0.722 0.861
Tb1 0.375 0.750 0.125
Tb2 0.875 0.250 0.625
Tb3 0.375 0.750 0.625
Tb4 0.375 0.250 0.625

=====

Number 1: final energy -16.660 eV/cell. Number 2: final energy -12.150 eV/cell. Number 3: final energy -94.219 eV/cell.